Record 1
SrLa2In | meta-GGA SCAN | single point on PBEsol structure

The structure in CIF format:
```
data_SrLa2In
_cell_length_a 3.6667
_cell_length_b 5.8859
_cell_length_c 6.1998
_cell_angle_alpha 90.00
_cell_angle_beta 97.45
_cell_angle_gamma 90.00
_space_group_name_H-M_alt 'P 1 2/m 1'
_space_group_IT_number 10
loop_
_space_group_symop_operation_xyz
'x,y,z'
'-x,-y,-z'
'-x,y,-z'
'x,-y,z'
loop_
_atom_site_label
_atom_site_fract_x
_atom_site_fract_y
_atom_site_fract_z
Sr1 0.0000 0.0000 0.0000
La1 0.2827 0.5000 0.7097
In1 0.5000 0.0000 0.5000
```

## Properties
DFT formation energy: -213 meV/atom
magnetic moment: 0.00 μB/atom

***

Record 2
YAl7Au3 | meta-GGA SCAN | single point on PBEsol structure

The structure in CIF format:
```
data_YAl7Au3
_cell_length_a 8.0056
_cell_length_b 8.0056
_cell_length_c 20.9315
_cell_angle_alpha 90.00
_cell_angle_beta 90.00
_cell_angle_gamma 120.00
_space_group_name_H-M_alt 'R -3 c'
_space_group_IT_number 167
_space_group_name_Hall '-R 3 2"c'
loop_
_atom_site_label
_atom_site_fract_x
_atom_site_fract_y
_atom_site_fract_z
Y1 0.0000 0.0000 0.0000
Al1 0.0000 0.0000 0.2500
Al2 0.0105 0.2076 0.1368
Au1 0.0000 0.3243 0.2500
```

## Properties
DFT formation energy: -745 meV/atom
magnetic moment: 0.00 μB/atom

***

Record 3
Li2TaTl | meta-GGA SCAN | single point on PBEsol structure

The structure in CIF format:
```
data_Li2TaTl
_cell_length_a 2.8819
_cell_length_b 4.7838
_cell_length_c 5.2526
_cell_angle_alpha 90.00
_cell_angle_beta 93.84
_cell_angle_gamma 90.00
_space_group_name_H-M_alt 'P 1 2/m 1'
_space_group_IT_number 10
loop_
_space_group_symop_operation_xyz
'x,y,z'
'-x,-y,-z'
'-x,y,-z'
'x,-y,z'
loop_
_atom_site_label
_atom_site_fract_x
_atom_site_fract_y
_atom_site_fract_z
Li1 0.1532 0.0000 0.2323
Ta1 0.5000 0.5000 0.0000
Tl1 0.0000 0.5000 0.5000
```

## Properties
DFT formation energy: 287 meV/atom
magnetic moment: 0.10 μB/atom

***

Record 4
Y2GaCo2 | meta-GGA SCAN | single point on PBEsol structure

The structure in CIF format:
```
data_Y2GaCo2
_cell_length_a 6.6784
_cell_length_b 6.6784
_cell_length_c 3.9526
_cell_angle_alpha 90.00
_cell_angle_beta 90.00
_cell_angle_gamma 90.00
_space_group_name_H-M_alt 'P 4/m b m'
_space_group_IT_number 127
_space_group_name_Hall '-P 4 2ab'
loop_
_atom_site_label
_atom_site_fract_x
_atom_site_fract_y
_atom_site_fract_z
Y1 0.1828 0.3172 0.0000
Ga1 0.0000 0.0000 0.5000
Co1 0.1171 0.6171 0.5000
```

## Properties
DFT formation energy: -265 meV/atom
magnetic moment: 0.32 μB/atom

***

Record 5
ZrZn2Mo | meta-GGA SCAN | single point on PBEsol structure

The structure in CIF format:
```
data_ZrZn2Mo
_cell_length_a 2.8247
_cell_length_b 4.4687
_cell_length_c 5.0434
_cell_angle_alpha 90.00
_cell_angle_beta 95.05
_cell_angle_gamma 90.00
_space_group_name_H-M_alt 'P 1 m 1'
_space_group_IT_number 6
loop_
_space_group_symop_operation_xyz
'x,y,z'
'x,-y,z'
loop_
_atom_site_label
_atom_site_fract_x
_atom_site_fract_y
_atom_site_fract_z
Zr1 0.0000 0.0000 0.0000
Zn1 0.4261 0.0000 0.5024
Zn2 0.4280 0.5000 0.7891
Mo1 0.8096 0.5000 0.3114
```

## Properties
energy above the lowest structure with this stoichiometry: 0 meV per atom
DFT formation energy: -37 meV/atom
magnetic moment: 0.00 μB/atom

***

Record 6
CsHgCl3 | meta-GGA SCAN | single point on PBEsol structure

The structure in CIF format:
```
data_CsHgCl3
_cell_length_a 7.4738
_cell_length_b 7.4738
_cell_length_c 5.3637
_cell_angle_alpha 90.00
_cell_angle_beta 90.00
_cell_angle_gamma 90.00
_space_group_name_H-M_alt 'P 4/m b m'
_space_group_IT_number 127
_space_group_name_Hall '-P 4 2ab'
loop_
_atom_site_label
_atom_site_fract_x
_atom_site_fract_y
_atom_site_fract_z
Cs1 0.0000 0.0000 0.0000
Hg1 0.0000 0.5000 0.5000
Cl1 0.0000 0.5000 0.0000
Cl2 0.2334 0.2666 0.5000
```

## Properties
energy above the lowest structure with this stoichiometry: 9 meV per atom
formation energy from raw total energies: -1.322 eV/atom
magnetic moment: 0.00 μB/atom

***

Record 7
ReMoW | meta-GGA SCAN | single point on PBEsol structure

The structure in CIF format:
```
data_ReMoW
_cell_length_a 2.7848
_cell_length_b 2.7848
_cell_length_c 6.8484
_cell_angle_alpha 90.00
_cell_angle_beta 90.00
_cell_angle_gamma 120.00
_space_group_name_H-M_alt 'P 3 m 1'
_space_group_IT_number 156
loop_
_space_group_symop_operation_xyz
'x,y,z'
'-y,x-y,z'
'-x+y,-x,z'
'-y,-x,z'
'-x+y,y,z'
'x,x-y,z'
loop_
_atom_site_label
_atom_site_fract_x
_atom_site_fract_y
_atom_site_fract_z
Re1 0.0000 0.0000 0.0000
Mo1 0.6667 0.3333 0.3230
W1 0.3333 0.6667 0.6698
```

## Properties
energy above the lowest structure with this stoichiometry: 299 meV per atom
DFT formation energy: 317 meV/atom
magnetic moment: 0.00 μB/atom

***

Record 8
KW2Se | meta-GGA SCAN | single point on PBEsol structure

The structure in CIF format:
```
data_KW2Se
_cell_length_a 3.2668
_cell_length_b 3.2668
_cell_length_c 8.0352
_cell_angle_alpha 90.00
_cell_angle_beta 90.00
_cell_angle_gamma 90.00
_space_group_name_H-M_alt 'P 4 m m'
_space_group_IT_number 99
loop_
_space_group_symop_operation_xyz
'x,y,z'
'-y,x,z'
'-x,-y,z'
'y,-x,z'
'-x,y,z'
'y,x,z'
'x,-y,z'
'-y,-x,z'
loop_
_atom_site_label
_atom_site_fract_x
_atom_site_fract_y
_atom_site_fract_z
K1 0.0000 0.0000 0.0000
W1 0.0000 0.0000 0.4944
W2 0.5000 0.5000 0.6478
Se1 0.5000 0.5000 0.3005
```

## Properties
formation energy from raw total energies: 0.510 eV/atom
magnetic moment: 0.27 μB/atom

***

Record 9
CaTi2Ru | meta-GGA SCAN | single point on PBEsol structure

The structure in CIF format:
```
data_CaTi2Ru
_cell_length_a 6.4756
_cell_length_b 6.4756
_cell_length_c 6.4756
_cell_angle_alpha 90.00
_cell_angle_beta 90.00
_cell_angle_gamma 90.00
_space_group_name_H-M_alt 'F m -3 m'
_space_group_IT_number 225
_space_group_name_Hall '-F 4 2 3'
loop_
_atom_site_label
_atom_site_fract_x
_atom_site_fract_y
_atom_site_fract_z
Ca1 0.0000 0.0000 0.0000
Ti1 0.2500 0.2500 0.2500
Ru1 0.0000 0.0000 0.5000
```

## Properties
DFT formation energy: 146 meV/atom
magnetic moment: 0.00 μB/atom

***

Record 10
LiTaZn2 | meta-GGA SCAN | single point on PBEsol structure

The structure in CIF format:
```
data_LiTaZn2
_cell_length_a 6.0417
_cell_length_b 7.7716
_cell_length_c 2.5948
_cell_angle_alpha 90.00
_cell_angle_beta 90.00
_cell_angle_gamma 90.00
_space_group_name_H-M_alt 'C m m m'
_space_group_IT_number 65
_space_group_name_Hall '-C 2 2'
loop_
_atom_site_label
_atom_site_fract_x
_atom_site_fract_y
_atom_site_fract_z
Li1 0.0000 0.0000 0.0000
Ta1 0.0000 0.5000 0.0000
Zn1 0.2500 0.2500 0.5000
```

## Properties
energy above the lowest structure with this stoichiometry: 64 meV per atom
DFT formation energy: -53 meV/atom
magnetic moment: 0.00 μB/atom

***

Record 11
CdCu | meta-GGA SCAN | single point on PBEsol structure

The structure in CIF format:
```
data_CdCu
_cell_length_a 9.0064
_cell_length_b 7.7366
_cell_length_c 5.4013
_cell_angle_alpha 90.00
_cell_angle_beta 90.00
_cell_angle_gamma 90.00
_space_group_name_H-M_alt 'P b c m'
_space_group_IT_number 57
loop_
_space_group_symop_operation_xyz
'x,y,z'
'-x,-y,-z'
'-x,-y,z+1/2'
'x,y,-z+1/2'
'x,-y+1/2,-z'
'-x,y+1/2,z'
'-x,y+1/2,-z+1/2'
'x,-y+1/2,z+1/2'
loop_
_atom_site_label
_atom_site_fract_x
_atom_site_fract_y
_atom_site_fract_z
Cd1 0.1244 0.2500 0.0000
Cd2 0.1758 0.6313 0.2500
Cd3 0.3691 0.0422 0.2500
Cu1 0.0785 0.5482 0.7500
Cu2 0.3727 0.1147 0.7500
Cu3 0.4212 0.7500 0.0000
```

## Properties
DFT formation energy: 96 meV/atom
magnetic moment: 0.00 μB/atom

***

Record 12
Mg2ScAg | meta-GGA SCAN | single point on PBEsol structure

The structure in CIF format:
```
data_Mg2ScAg
_cell_length_a 3.4310
_cell_length_b 3.4310
_cell_length_c 6.9292
_cell_angle_alpha 90.00
_cell_angle_beta 90.00
_cell_angle_gamma 90.00
_space_group_name_H-M_alt 'P 4 m m'
_space_group_IT_number 99
loop_
_space_group_symop_operation_xyz
'x,y,z'
'-y,x,z'
'-x,-y,z'
'y,-x,z'
'-x,y,z'
'y,x,z'
'x,-y,z'
'-y,-x,z'
loop_
_atom_site_label
_atom_site_fract_x
_atom_site_fract_y
_atom_site_fract_z
Mg1 0.0000 0.0000 0.0000
Mg2 0.5000 0.5000 0.2664
Sc1 0.0000 0.0000 0.5457
Ag1 0.5000 0.5000 0.7724
```

## Properties
DFT formation energy: -188 meV/atom
magnetic moment: 0.05 μB/atom

***

Per-record uncorrected energy, eV per cell: -142.7; -1786.6; -142.6; -215.9; -92.8; -273.0; -174.7; -165.7; -303.9; -192.4; -545.1; -56.3
Per-record V, Å³ per cell: 133; 1162; 72; 176; 63; 300; 46; 86; 272; 122; 376; 82